Eu2AgSb after structural relaxation. Source: Alexandria via LeMat-Bulk, functional GGA-PBEsol.

The space group is Fm-3m (No. 225) and the conventional cell measures 7.5644, 7.5644 and 7.5644 Å, with angles of 90.00, 90.00 and 90.00 degrees. Symmetry generates all atoms from Eu at (0.2500, 0.2500, 0.2500), Ag at (0.0000, 0.0000, 0.0000) and Sb at (0.0000, 0.0000, 0.5000).

The value obtained for the density of states at the Fermi level is 4.11 states/eV/atom. As for the total moment: 3.511 μB per atom. For the energy relative to the elements, uncorrected, the calculation gives -70.4 kJ/mol of atoms.

Sr2Zn2Bi after structural relaxation. Source: Alexandria via LeMat-Bulk, functional GGA-PBEsol.

The space group is I4/mmm (No. 139) and the conventional cell measures 3.8195, 3.8195 and 19.6902 Å, with angles of 90.00, 90.00 and 90.00 degrees. Symmetry generates all atoms from Sr at (0.0000, 0.0000, 0.1110), Zn at (0.0000, 0.5000, 0.2500) and Bi at (0.0000, 0.0000, 0.5000).

The value obtained for the density of states at the Fermi level is 0.40 states/eV/atom. As for the total moment: 0.000 μB per atom. As for the formation enthalpy at 0 K: -0.310 eV/atom.

TeRh2Se after structural relaxation. Source: Alexandria via LeMat-Bulk, functional GGA-PBEsol.

The space group is P4mm (No. 99) and the conventional cell measures 3.4757, 3.4757 and 6.0154 Å, with angles of 90.00, 90.00 and 90.00 degrees. Symmetry generates all atoms from Te at (0.0000, 0.0000, 0.0000), Rh at (0.0000, 0.0000, 0.4363), Rh at (0.5000, 0.5000, 0.1693) and Se at (0.5000, 0.5000, 0.5640).

The value obtained for the density of states at the Fermi level is 0.53 states/eV/atom. As for the total moment: 0.000 μB per atom. For the energy relative to the elements, uncorrected, the calculation gives -27.5 kJ/mol of atoms.

Copy entry 3 word for word.
TeRh2Se after structural relaxation. Source: Alexandria via LeMat-Bulk, functional GGA-PBEsol.

The space group is P4mm (No. 99) and the conventional cell measures 3.4757, 3.4757 and 6.0154 Å, with angles of 90.00, 90.00 and 90.00 degrees. Symmetry generates all atoms from Te at (0.0000, 0.0000, 0.0000), Rh at (0.0000, 0.0000, 0.4363), Rh at (0.5000, 0.5000, 0.1693) and Se at (0.5000, 0.5000, 0.5640).

The value obtained for the density of states at the Fermi level is 0.53 states/eV/atom. As for the total moment: 0.000 μB per atom. For the energy relative to the elements, uncorrected, the calculation gives -27.5 kJ/mol of atoms.

- The highest total moment belongs to which entry?
  Eu2AgSb